Here is a relaxed structure of NbAlB4 from OQMD. Energies are from PBE.

Size of the total moment (μB per cell): 0.0
VASP energy (eV per atom): -7.1321
V (Å³ per cell): 53.7
Space-group type: P6/mmm

Unit cell a=3.0089 b=3.0089 c=6.8450 alpha=90.00 beta=90.00 gamma=120.00
With the nearest neighbours (Å) after each atom.
Fractional coordinates of all 6 atoms:
Nb (0.0000, 0.0000, 0.0000)  12 B 2.50
B (0.3333, 0.6667, 0.7379)  3 B 1.74
B (0.6667, 0.3333, 0.2621)  3 B 1.74
B (0.6667, 0.3333, 0.7379)  3 B 1.74
B (0.3333, 0.6667, 0.2621)  3 B 1.74
Al (0.0000, 0.0000, 0.5000)  12 B 2.38



Here is a relaxed structure of CdGePO from OQMD. Energies are from PBE.

Energy relative to the lowest polymorph listed for this composition (eV/atom): 0.213
V (Å³ per cell): 155.9
Space-group type: P4/nmm

Unit cell a=4.4161 b=4.4161 c=7.9957 alpha=90.00 beta=90.00 gamma=90.00
With the nearest neighbours (Å) after each atom.
Fractional coordinates of all 8 atoms:
Ge (0.2500, 0.7500, 0.5000)  4 P 2.49
Ge (0.7500, 0.2500, 0.5000)  4 P 2.49
Cd (0.7500, 0.7500, 0.9633)  4 O 2.23
Cd (0.2500, 0.2500, 0.0367)  4 O 2.23
P (0.2500, 0.2500, 0.6436)  4 Ge 2.49
P (0.7500, 0.7500, 0.3564)  4 Ge 2.49
O (0.7500, 0.2500, 0.0000)  4 Cd 2.23
O (0.2500, 0.7500, 0.0000)  4 Cd 2.23



Here is a relaxed structure of FeAgGeOs from OQMD. Energies are from PBE.

Size of the total moment (μB per cell): 2.6
Energy relative to the lowest polymorph listed for this composition (eV/atom): 0.000
V (Å³ per cell): 58.4
Space-group type: F-43m

Unit cell a=4.3542 b=4.3542 c=4.3542 alpha=60.00 beta=60.00 gamma=60.00
With the nearest neighbours (Å) after each atom.
Fractional coordinates of all 4 atoms:
Ge (0.0000, 0.0000, 0.0000)  4 Fe 2.67, 4 Os 2.67
Ag (0.5000, 0.5000, 0.5000)  4 Fe 2.67, 4 Os 2.67
Fe (0.7500, 0.7500, 0.7500)  4 Ag 2.67, 4 Ge 2.67
Os (0.2500, 0.2500, 0.2500)  4 Ag 2.67, 4 Ge 2.67